1.
First-principles (PBE-GGA) data for TiRh after structural relaxation, as listed in the Alexandria database.

Results
total magnetic moment	0.00	μB/f.u.
N(E_F)	1.02	states/eV/atom
SG	Pmmn (59)
ΔE_f	-0.5375	eV per atom

Lattice parameters (Å, degrees): 2.8882 4.5697 14.1273 90.00 90.00 90.00
Atoms (fractional coordinates):
Ti 0.0000 0.8584 0.3333
Ti 0.5000 0.1416 0.8333
Ti 0.5000 0.1416 0.1667
Ti 0.0000 0.8579 0.0000
Ti 0.5000 0.1421 0.5000
Ti 0.0000 0.8584 0.6667
Rh 0.5000 0.3487 0.3333
Rh 0.5000 0.3483 0.0000
Rh 0.0000 0.6517 0.5000
Rh 0.0000 0.6513 0.8333
Rh 0.0000 0.6513 0.1667
Rh 0.5000 0.3487 0.6667

2.
First-principles (PBE-GGA) data for TiRh after structural relaxation, as listed in the Alexandria database.

Results
total magnetic moment	0.00	μB/f.u.
N(E_F)	0.46	states/eV/atom
SG	P6_3/mmc (194)
ΔE_f	-0.0579	eV per atom

Lattice parameters (Å, degrees): 4.2570 4.2570 5.0526 90.00 90.00 120.00
Atoms (fractional coordinates):
Rh 0.3333 0.6667 0.7500
Rh 0.6667 0.3333 0.2500
Ti 0.6667 0.3333 0.7500
Ti 0.3333 0.6667 0.2500